VASP calculation (PBE) on a relaxed Pr2ErO4 crystal.

Properties
- space-group type = No. 227
- calculated total energy (eV/atom) = -7.926

Cell lengths 6.9842, 6.9842, 6.9842 Å; angles 60.00, 60.00, 60.00 degrees
With the nearest neighbours (Å) after each atom.
Fractional positions:
Pr 0.0000 0.0000 0.0000  6 O 2.47
Pr 0.0000 0.0000 0.5000  6 O 2.47
Pr 0.0000 0.5000 0.0000  6 O 2.47
Pr 0.5000 0.0000 0.0000  6 O 2.47
Er 0.3750 0.3750 0.3750  4 O 2.13
Er 0.6250 0.6250 0.6250  4 O 2.13
O 0.2503 0.2503 0.2503  1 Er 2.13
O 0.2503 0.2503 0.7490  1 Er 2.13
O 0.2503 0.7490 0.2503  1 Er 2.13
O 0.2510 0.7497 0.7497  1 Er 2.13
O 0.7490 0.2503 0.2503  1 Er 2.13
O 0.7497 0.2510 0.7497  1 Er 2.13
O 0.7497 0.7497 0.2510  1 Er 2.13
O 0.7497 0.7497 0.7497  1 Er 2.13